Density functional theory data (GGA+U) for crystalline Na3Fe2As3O12 at its relaxed geometry.

a = 10.7597 Å, b = 10.7597 Å, c = 10.7597 Å
α = 109.47°, β = 109.47°, γ = 109.47°
Atoms (fractional coordinates):
Na (0.1250, 0.2500, 0.3750)
Na (0.1250, 0.3750, 0.7500)
Na (0.2500, 0.3750, 0.1250)
Na (0.2500, 0.8750, 0.6250)
Na (0.3750, 0.1250, 0.2500)
Na (0.3750, 0.7500, 0.1250)
Na (0.6250, 0.2500, 0.8750)
Na (0.6250, 0.8750, 0.7500)
Na (0.7500, 0.1250, 0.3750)
Na (0.7500, 0.6250, 0.8750)
Na (0.8750, 0.6250, 0.2500)
Na (0.8750, 0.7500, 0.6250)
Fe (0.0000, 0.0000, 0.0000)
Fe (0.0000, 0.0000, 0.5000)
Fe (0.0000, 0.5000, 0.0000)
Fe (0.0000, 0.5000, 0.5000)
Fe (0.5000, 0.0000, 0.0000)
Fe (0.5000, 0.0000, 0.5000)
Fe (0.5000, 0.5000, 0.0000)
Fe (0.5000, 0.5000, 0.5000)
As (0.1250, 0.7500, 0.8750)
As (0.1250, 0.8750, 0.2500)
As (0.2500, 0.1250, 0.8750)
As (0.2500, 0.6250, 0.3750)
As (0.3750, 0.2500, 0.6250)
As (0.3750, 0.6250, 0.7500)
As (0.6250, 0.3750, 0.2500)
As (0.6250, 0.7500, 0.3750)
As (0.7500, 0.3750, 0.6250)
As (0.7500, 0.8750, 0.1250)
As (0.8750, 0.1250, 0.7500)
As (0.8750, 0.2500, 0.1250)
O (0.0100, 0.2004, 0.1145)
O (0.0100, 0.3095, 0.8954)
O (0.0859, 0.7004, 0.6905)
O (0.0859, 0.8855, 0.3954)
O (0.1046, 0.6145, 0.4141)
O (0.1046, 0.9900, 0.6905)
O (0.1145, 0.0100, 0.2004)
O (0.1145, 0.6046, 0.9141)
O (0.1905, 0.2004, 0.5859)
O (0.1905, 0.4900, 0.6046)
O (0.2004, 0.1145, 0.0100)
O (0.2004, 0.5859, 0.1905)
O (0.2996, 0.3095, 0.9141)
O (0.2996, 0.4900, 0.3855)
O (0.3095, 0.8954, 0.0100)
O (0.3095, 0.9141, 0.2996)
O (0.3855, 0.2996, 0.4900)
O (0.3855, 0.5859, 0.8954)
O (0.3954, 0.0859, 0.8855)
O (0.3954, 0.8095, 0.5100)
O (0.4141, 0.1046, 0.6145)
O (0.4141, 0.8095, 0.7996)
O (0.4900, 0.3855, 0.2996)
O (0.4900, 0.6046, 0.1905)
O (0.5100, 0.3954, 0.8095)
O (0.5100, 0.6145, 0.7004)
O (0.5859, 0.1905, 0.2004)
O (0.5859, 0.8954, 0.3855)
O (0.6046, 0.1905, 0.4900)
O (0.6046, 0.9141, 0.1145)
O (0.6145, 0.4141, 0.1046)
O (0.6145, 0.7004, 0.5100)
O (0.6905, 0.0859, 0.7004)
O (0.6905, 0.1046, 0.9900)
O (0.7004, 0.5100, 0.6145)
O (0.7004, 0.6905, 0.0859)
O (0.7996, 0.4141, 0.8095)
O (0.7996, 0.8855, 0.9900)
O (0.8095, 0.5100, 0.3954)
O (0.8095, 0.7996, 0.4141)
O (0.8855, 0.3954, 0.0859)
O (0.8855, 0.9900, 0.7996)
O (0.8954, 0.0100, 0.3095)
O (0.8954, 0.3855, 0.5859)
O (0.9141, 0.1145, 0.6046)
O (0.9141, 0.2996, 0.3095)
O (0.9900, 0.6905, 0.1046)
O (0.9900, 0.7996, 0.8855)

Output
V (Å³/f.u.): 239.7
Magnetization (μB/cell): 39.73
Energy (eV/cell): -477.16
Fermi-level density of states (states/eV per cell): 0.00